No. 1
# Ti8NiSn2

A relaxed Ti8NiSn2 crystal (PBE-GGA, the Alexandria database).

abc: 4.724 5.300 7.938
angles: 92.31 107.31 90.00
Sites, in units of the cell vectors:
1 Sn 0.847 0.191 0.695
2 Ti 0.765 0.663 0.530
3 Ti 0.344 0.882 0.689
4 Ni 0.500 0.000 0.000
5 Ti 0.045 0.275 0.090
6 Ti 0.955 0.725 0.910
7 Ti 0.656 0.118 0.311
8 Ti 0.581 0.578 0.162
9 Ti 0.235 0.337 0.470
10 Ti 0.419 0.422 0.838
11 Sn 0.153 0.809 0.305

Properties
ΔH_f (0 K) in meV/atom: -236
E in eV per atom: -7.2310

---

No. 2
# HoMgSn2

A relaxed HoMgSn2 crystal (PBE-GGA, the Alexandria database).

abc: 4.869 4.869 5.766
angles: 65.03 65.03 60.00
Sites, in units of the cell vectors:
1 Sn 0.241 0.241 0.276
2 Sn 0.759 0.759 0.724
3 Ho 0.000 0.000 0.000
4 Mg 0.500 0.500 0.500

Properties
ΔH_f (0 K) in meV/atom: -321
E in eV per atom: -3.8658

---

No. 3
# PuThAg

A relaxed PuThAg crystal (PBE-GGA, the Alexandria database).

abc: 3.328 3.328 12.282
angles: 90.00 90.00 90.00
Sites, in units of the cell vectors:
1 Th 0.500 0.000 0.748
2 Ag 0.000 0.500 0.933
3 Pu 0.000 0.500 0.535
4 Pu 0.500 0.000 0.465
5 Ag 0.500 0.000 0.067
6 Th 0.000 0.500 0.252

Properties
Energy relative to the lowest polymorph listed for this composition in meV per atom: 10
ΔH_f (0 K) in meV/atom: 130
E in eV per atom: -8.0706

---

No. 4
# LaAl2Zn3

A relaxed LaAl2Zn3 crystal (PBE-GGA, the Alexandria database).

abc: 4.375 8.625 8.100
angles: 54.90 74.33 75.31
Sites, in units of the cell vectors:
1 Zn 0.616 0.273 0.495
2 La 0.151 0.912 0.786
3 La 0.849 0.088 0.214
4 Al 0.520 0.823 0.136
5 Al 0.184 0.330 0.302
6 Al 0.816 0.670 0.698
7 Zn 0.984 0.351 0.681
8 Zn 0.314 0.456 0.916
9 Zn 0.016 0.649 0.319
10 Zn 0.686 0.544 0.084
11 Zn 0.384 0.727 0.505
12 Al 0.480 0.177 0.864

Properties
ΔH_f (0 K) in meV/atom: -293
E in eV per atom: -2.9989

---

No. 5
# KCa2P

A relaxed KCa2P crystal (PBE-GGA, the Alexandria database).

abc: 9.730 9.730 7.674
angles: 50.66 50.66 90.00
Sites, in units of the cell vectors:
1 K 0.000 0.000 0.000
2 P 0.500 0.500 0.000
3 Ca 0.493 0.125 0.250
4 K 0.750 0.250 0.500
5 Ca 0.257 0.625 0.250
6 P 0.250 0.750 0.500
7 Ca 0.875 0.743 0.750
8 Ca 0.375 0.507 0.750

Properties
ΔH_f (0 K) in meV/atom: -345
E in eV per atom: -2.9731

---

No. 6
# DyPuSn

A relaxed DyPuSn crystal (PBE-GGA, the Alexandria database).

abc: 5.456 5.456 6.292
angles: 90.00 90.00 120.00
Sites, in units of the cell vectors:
1 Sn 0.333 0.167 0.250
2 Pu 0.000 0.500 0.500
3 Dy 0.333 0.167 0.750
4 Dy 0.667 0.833 0.250
5 Sn 0.667 0.833 0.750
6 Pu 0.000 0.500 0.000

Properties
Energy relative to the lowest polymorph listed for this composition in meV per atom: 0
ΔH_f (0 K) in meV/atom: -476
E in eV per atom: -8.1217

---

No. 7
# Ho6Ga3Cu

A relaxed Ho6Ga3Cu crystal (PBE-GGA, the Alexandria database).

abc: 5.011 8.677 11.327
angles: 90.00 90.00 90.00
Sites, in units of the cell vectors:
1 Ho 0.000 0.669 0.915
2 Cu 0.000 0.000 0.000
3 Ho 0.500 0.169 0.585
4 Ga 0.500 0.500 0.000
5 Ga 0.500 0.837 0.755
6 Ho 0.000 0.666 0.585
7 Ga 0.000 0.000 0.500
8 Ho 0.500 0.497 0.255
9 Ho 0.500 0.834 0.085
10 Ho 0.000 0.997 0.245
11 Ga 0.500 0.163 0.245
12 Ho 0.500 0.831 0.415
13 Cu 0.500 0.500 0.500
14 Ho 0.000 0.334 0.415
15 Ho 0.000 0.331 0.085
16 Ho 0.000 0.003 0.755
17 Ho 0.500 0.503 0.745
18 Ho 0.500 0.166 0.915
19 Ga 0.000 0.663 0.255
20 Ga 0.000 0.337 0.745

Properties
ΔH_f (0 K) in meV/atom: -339
E in eV per atom: -4.4031

---

No. 8
# KAs2W

A relaxed KAs2W crystal (PBE-GGA, the Alexandria database).

abc: 3.473 3.473 8.704
angles: 78.38 78.38 60.34
Sites, in units of the cell vectors:
1 W 0.250 0.250 0.250
2 As 0.981 0.981 0.057
3 As 0.519 0.519 0.443
4 K 0.750 0.750 0.750

Properties
Energy relative to the lowest polymorph listed for this composition in meV per atom: 4
ΔH_f (0 K) in meV/atom: -87
E in eV per atom: -5.9248

---

What is the ΔH_f (0 K) in the eighth record?
-87 meV/atom